<a>
The following is a GGA-PBE calculation of a geometry-optimized BaIn2Cl4 structure, from Alexandria via LeMat-Bulk.

a b c (Å): 6.1136 6.1136 15.4154
angles (deg): 90.00 90.00 90.00
With the nearest neighbours (Å) after each atom.
Space group I4/mmm (No. 139)
Asymmetric unit:
Ba (0.0000, 0.0000, 0.0000) [2 per cell]  6 Cl 3.03-3.06
In (0.0000, 0.0000, 0.3714) [4 per cell]  1 Cl 2.69
Cl (0.0000, 0.0000, 0.1969) [4 per cell]  1 In 2.69
Cl (0.0000, 0.5000, 0.0000) [4 per cell]  2 Ba 3.06

M_tot = 0.00 μB/cell

***

<b>
The following is a GGA-PBE calculation of a geometry-optimized BaIn2Cl4 structure, from Alexandria via LeMat-Bulk.

a b c (Å): 13.2909 4.3770 15.9401
angles (deg): 90.00 90.00 90.00
With the nearest neighbours (Å) after each atom.
Space group Pnma (No. 62)
Asymmetric unit:
Ba (0.2094, 0.2500, 0.1571) [4 per cell]  7 Cl 3.13-3.30
In (0.0241, 0.7500, 0.4065) [4 per cell]  4 Cl 2.96-3.19
In (0.1223, 0.7500, 0.8919) [4 per cell]  7 Cl 3.14-3.49
Cl (0.0472, 0.7500, 0.1014) [4 per cell]  3 In 3.14-3.49, 2 Ba 3.20
Cl (0.0485, 0.7500, 0.7029) [4 per cell]  3 In 2.96-3.17, 1 Ba 3.30
Cl (0.1966, 0.2500, 0.5410) [4 per cell]  2 In 3.05-3.38, 2 Ba 3.13
Cl (0.2250, 0.7500, 0.2969) [4 per cell]  2 Ba 3.13, 3 In 3.19-3.35

M_tot = 0.00 μB/cell

***

Computed energies relative to the best structure, in eV/atom: <a> 0.085; <b> 0.000

***

<a>
The following is a GGA-PBE calculation of a geometry-optimized BaInPCl2 structure, from Alexandria via LeMat-Bulk.

a b c (Å): 5.3177 5.3177 5.1447
angles (deg): 90.00 90.00 90.00
With the nearest neighbours (Å) after each atom.
Space group P4/mmm (No. 123)
Asymmetric unit:
Ba (0.0000, 0.0000, 0.0000) [1 per cell]  8 Cl 3.70, 4 P 3.76
In (0.5000, 0.5000, 0.5000) [1 per cell]  2 P 2.57, 4 Cl 2.66
P (0.5000, 0.5000, 0.0000) [1 per cell]  2 In 2.57
Cl (0.0000, 0.5000, 0.5000) [2 per cell]  2 In 2.66

M_tot = 0.00 μB/cell

***

<b>
The following is a GGA-PBE calculation of a geometry-optimized BaInPCl2 structure, from Alexandria via LeMat-Bulk.

a b c (Å): 5.9947 5.9947 6.7563
angles (deg): 90.00 90.00 90.00
With the nearest neighbours (Å) after each atom.
Space group P4/mmm (No. 123)
Asymmetric unit:
Ba (0.0000, 0.0000, 0.0000) [1 per cell]  4 Cl 3.00
In (0.5000, 0.5000, 0.5000) [1 per cell]  4 P 4.24, 8 Cl 4.52
P (0.0000, 0.0000, 0.5000) [1 per cell]  2 Ba 3.38
Cl (0.0000, 0.5000, 0.0000) [2 per cell]  2 Ba 3.00

M_tot = 2.00 μB/cell

***

Computed energies relative to the best structure, in eV/atom: <a> 0.000; <b> 0.352

***

<a>
The following is a GGA-PBE calculation of a geometry-optimized Ba4IrCl2 structure, from Alexandria via LeMat-Bulk.

a b c (Å): 6.1226 6.1226 15.7073
angles (deg): 90.00 90.00 90.00
With the nearest neighbours (Å) after each atom.
Space group I4/mmm (No. 139)
Asymmetric unit:
Ba (0.0000, 0.0000, 0.2013) [4 per cell]  1 Cl 3.06, 1 Ir 3.16
Ba (0.0000, 0.5000, 0.0000) [4 per cell]  2 Ir 3.06
Ir (0.0000, 0.0000, 0.0000) [2 per cell]  6 Ba 3.06-3.16
Cl (0.0000, 0.0000, 0.3962) [4 per cell]  1 Ba 3.06, 1 Cl 3.26

M_tot = 1.27 μB/cell

***

<b>
The following is a GGA-PBE calculation of a geometry-optimized Ba4IrCl2 structure, from Alexandria via LeMat-Bulk.

a b c (Å): 17.9375 4.5528 7.5473
angles (deg): 90.00 114.04 90.00
With the nearest neighbours (Å) after each atom.
Space group C2/m (No. 12)
Asymmetric unit:
Ba (0.1063, 0.0000, 0.2666) [4 per cell]  2 Ir 3.12
Ba (0.1126, 0.5000, 0.7922) [4 per cell]  1 Ir 3.02, 3 Cl 3.32-3.35
Ir (0.0000, 0.5000, 0.0000) [2 per cell]  6 Ba 3.02-3.12
Cl (0.2403, 0.0000, 0.7568) [4 per cell]  6 Ba 3.32-3.63

M_tot = 0.00 μB/cell

***

Computed energies relative to the best structure, in eV/atom: <a> 0.124; <b> 0.000